# 1
Below is a relaxed Ce3Er2S8 crystal, with properties calculated at the PBE level.

```
data_Ce3Er2S8
_cell_length_a 13.885
_cell_length_b 8.187
_cell_length_c 7.116
_cell_angle_alpha 90.00
_cell_angle_beta 111.81
_cell_angle_gamma 90.00
_space_group_name_H-M_alt 'C 1 2/m 1'
_space_group_IT_number 12
loop_
_space_group_symop_operation_xyz
'x,y,z'
'-x,-y,-z'
'-x,y,-z'
'x,-y,z'
'x+1/2,y+1/2,z'
'-x+1/2,-y+1/2,-z'
'-x+1/2,y+1/2,-z'
'x+1/2,-y+1/2,z'
loop_
_atom_site_label
_atom_site_fract_x
_atom_site_fract_y
_atom_site_fract_z
Ce1 0.000 0.000 0.000
Ce2 0.000 0.256 0.500
Er1 0.243 0.500 0.461
S1 0.118 0.000 0.744
S2 0.129 0.229 0.278
S3 0.132 0.500 0.691
```

## Properties
Formation energy (no corrections), meV per atom: -1941
Calculated density, g/cm3: 4.472
E, eV/cell: -170.36
Magnetic moment, Bohr magnetons per cell: 4.1

---

# 2
Below is a relaxed TiSnBi2Au crystal, with properties calculated at the PBE level.

```
data_TiSnBi2Au
_cell_length_a 5.380
_cell_length_b 5.380
_cell_length_c 5.164
_cell_angle_alpha 90.00
_cell_angle_beta 90.00
_cell_angle_gamma 90.00
_space_group_name_H-M_alt 'P 4/m m m'
_space_group_IT_number 123
_space_group_name_Hall '-P 4 2'
loop_
_atom_site_label
_atom_site_fract_x
_atom_site_fract_y
_atom_site_fract_z
Ti1 0.000 0.000 0.000
Sn1 0.500 0.500 0.500
Bi1 0.000 0.500 0.000
Au1 0.000 0.000 0.500
```

## Properties
Calculated density, g/cm3: 8.680
Formation energy, eV/atom: 0.313
E, eV/cell: -21.37
Magnetic moment, Bohr magnetons per cell: 0.2

---

# 3
Below is a relaxed KBeFe2 crystal, with properties calculated at the PBE level.

```
data_KBeFe2
_cell_length_a 2.8302
_cell_length_b 2.8302
_cell_length_c 27.3948
_cell_angle_alpha 90.00
_cell_angle_beta 90.00
_cell_angle_gamma 120.00
_space_group_name_H-M_alt 'R 3 m'
_space_group_IT_number 160
_space_group_name_Hall 'R 3 -2"'
loop_
_atom_site_label
_atom_site_fract_x
_atom_site_fract_y
_atom_site_fract_z
K1 0.0000 0.0000 0.0000
Be1 0.0000 0.0000 0.7691
Fe1 0.0000 0.0000 0.2261
Fe2 0.0000 0.0000 0.4955
```

## Properties
Calculated density, g/cm3: 4.189
Formation energy, eV/atom: 0.848
E, eV/cell: -55.08
Magnetic moment, Bohr magnetons per cell: 14.1

---

# 4
Below is a relaxed Sr2Y2I crystal, with properties calculated at the PBE level.

```
data_Sr2Y2I
_cell_length_a 8.122
_cell_length_b 8.122
_cell_length_c 6.337
_cell_angle_alpha 90.00
_cell_angle_beta 90.00
_cell_angle_gamma 90.00
_space_group_name_H-M_alt 'P 4/m b m'
_space_group_IT_number 127
_space_group_name_Hall '-P 4 2ab'
loop_
_atom_site_label
_atom_site_fract_x
_atom_site_fract_y
_atom_site_fract_z
Sr1 0.160 0.340 0.000
Y1 0.149 0.649 0.500
I1 0.000 0.000 0.500
```

## Properties
Formation energy (no corrections), meV per atom: -82
Calculated density, g/cm3: 3.813
E, eV/cell: -36.50
Magnetic moment, Bohr magnetons per cell: 0.0

---

# 5
Below is a relaxed Y2MgCl crystal, with properties calculated at the PBE level.

```
data_Y2MgCl
_cell_length_a 3.898
_cell_length_b 5.806
_cell_length_c 9.915
_cell_angle_alpha 90.00
_cell_angle_beta 90.00
_cell_angle_gamma 90.00
_space_group_name_H-M_alt 'C m m 2'
_space_group_IT_number 35
loop_
_space_group_symop_operation_xyz
'x,y,z'
'-x,-y,z'
'-x,y,z'
'x,-y,z'
'x+1/2,y+1/2,z'
'-x+1/2,-y+1/2,z'
'-x+1/2,y+1/2,z'
'x+1/2,-y+1/2,z'
loop_
_atom_site_label
_atom_site_fract_x
_atom_site_fract_y
_atom_site_fract_z
Y1 0.000 0.000 0.000
Y2 0.000 0.500 0.275
Mg1 0.000 0.000 0.534
Cl1 0.000 0.500 0.795
```

## Properties
Formation energy (no corrections), meV per atom: -551
Calculated density, g/cm3: 3.516
E, eV/cell: -37.15
Magnetic moment, Bohr magnetons per cell: 0.0

---

# 6
Below is a relaxed RbPb2O2 crystal, with properties calculated at the PBE level.

```
data_RbPb2O2
_cell_length_a 11.203
_cell_length_b 8.002
_cell_length_c 6.982
_cell_angle_alpha 90.00
_cell_angle_beta 128.45
_cell_angle_gamma 90.00
_space_group_name_H-M_alt 'C 1 2/c 1'
_space_group_IT_number 15
loop_
_space_group_symop_operation_xyz
'x,y,z'
'-x,-y,-z'
'-x,y,-z+1/2'
'x,-y,z+1/2'
'x+1/2,y+1/2,z'
'-x+1/2,-y+1/2,-z'
'-x+1/2,y+1/2,-z+1/2'
'x+1/2,-y+1/2,z+1/2'
loop_
_atom_site_label
_atom_site_fract_x
_atom_site_fract_y
_atom_site_fract_z
Rb1 0.000 0.108 0.250
Pb1 0.000 0.500 0.000
Pb2 0.250 0.250 0.000
O1 0.236 0.001 0.736
```

## Properties
Formation energy (no corrections), meV per atom: -622
Calculated density, g/cm3: 7.208
E, eV/cell: -85.65
Magnetic moment, Bohr magnetons per cell: 0.0

---

- What is the formula in the second record?
  TiSnBi2Au